Material: Pr4As2AuS
Method: DFT, PBE-GGA
State: optimized geometry

Lattice parameters (Å, degrees): 7.345 4.259 7.477 90.00 109.00 90.00
Positions (direct):
Pr1 0.243 0.000 0.238
Pr2 0.246 0.500 0.757
Pr3 0.754 0.500 0.243
Pr4 0.757 0.000 0.762
As1 0.000 0.000 0.500
As2 0.000 0.500 0.000
Au1 0.500 0.500 0.500
S1 0.500 0.000 0.000

Electronic total energy: -5.8957 eV/atom
Formation energy (no corrections): -1.4180 eV per atom